# Na3H2I (PBE-GGA, relaxed)
# **Energy**: -0.09454 hartree per atom
# **DOS(E_F)**: 0.000 states/eV/atom
data_Na3H2I
_cell_length_a 4.326
_cell_length_b 4.707
_cell_length_c 12.132
_cell_angle_alpha 90.00
_cell_angle_beta 90.00
_cell_angle_gamma 90.00
_symmetry_space_group_name_H-M 'I m m m'
_symmetry_Int_Tables_number 71
_symmetry_space_group_name_Hall '-I 2 2'
loop_
_atom_site_label
_atom_site_type_symbol
_atom_site_fract_x
_atom_site_fract_y
_atom_site_fract_z
Na1 Na 0.000 0.000 0.000
Na2 Na 0.000 0.500 0.229
H1 H 0.000 0.000 0.192
I1 I 0.000 0.000 0.500